(1)
Below is a geometry-optimized LaEr2C structure, with properties calculated at the PBE level.

Cell: 3.5008 3.5008 29.7787 Å, 90.00 90.00 120.00°
Space group R-3m (No. 166, hexagonal axes)
One atom of each set of equivalent atoms:
1 La 0.0000 0.0000 0.0000
2 Er 0.0000 0.0000 0.1217
3 C 0.0000 0.0000 0.5000

Volume, Å³/f.u.: 105
DFT total energy, eV for the cell shown: -71.57
Crystal system: trigonal
Energy of formation, meV per atom: -145


(2)
Below is a geometry-optimized Tb3Nd2Er6 structure, with properties calculated at the PBE level.

Cell: 6.091 10.564 11.654 Å, 90.00 100.11 90.00°
Space group C2/m (No. 12)
One atom of each set of equivalent atoms:
1 Tb 0.000 0.000 0.000
2 Tb 0.000 0.335 0.000
3 Nd 0.000 0.167 0.500
4 Er 0.249 0.167 0.247
5 Er 0.249 0.500 0.247

Volume, Å³/f.u.: 369
DFT total energy, eV for the cell shown: -97.54
Crystal system: monoclinic
Energy of formation, meV per atom: 185


(3)
Below is a geometry-optimized TaSi structure, with properties calculated at the PBE level.

Cell: 2.742 2.742 8.767 Å, 90.00 90.00 90.00°
Space group P4/nmm (No. 129, origin choice 2)
One atom of each set of equivalent atoms:
1 Ta 0.250 0.250 0.139
2 Si 0.250 0.250 0.631

Volume, Å³/f.u.: 33
DFT total energy, eV for the cell shown: -34.07
Crystal system: tetragonal


Q: Among the records above, which one has the highest volume?
A: Tb3Nd2Er6